No. 1
ErMnI | GGA-PBE | optimized geometry Values from VASP.

Quantum ESPRESSO input file:
```
&SYSTEM
  ibrav = 0, nat = 6, ntyp = 3
/
ATOMIC_SPECIES
Er 167.26 Er.upf
I 126.90 I.upf
Mn 54.94 Mn.upf
CELL_PARAMETERS angstrom
-0.712 -1.823 -3.340
1.203 -3.644 -0.510
-10.862 -6.120 3.414
ATOMIC_POSITIONS angstrom
Er -3.424 -5.107 -0.968
Er -6.946 -6.480 0.532
I -1.718 -2.556 -0.482
I -8.653 -9.031 0.045
Mn -4.970 -7.596 -1.524
Mn -5.401 -3.991 1.087
```

## Properties
Theoretical density, g/cm3: 7.02
Calculated total energy, eV/atom: -5.751
ΔE_f (raw), meV per atom: -657

---

No. 2
SmYTh2As4 | GGA-PBE | optimized geometry Values from VASP.

Quantum ESPRESSO input file:
```
&SYSTEM
  ibrav = 0, nat = 8, ntyp = 4
/
ATOMIC_SPECIES
Sm 150.36 Sm.upf
Y 88.91 Y.upf
Th 232.04 Th.upf
As 74.92 As.upf
CELL_PARAMETERS angstrom
4.224 0.000 0.000
0.000 7.268 -0.122
0.000 2.578 6.846
ATOMIC_POSITIONS angstrom
Sm 0.000 4.923 3.362
Y 2.112 3.634 -0.061
Th 0.000 2.578 6.846
Th 2.112 1.289 3.423
As 0.000 7.360 5.071
As 4.224 2.486 1.653
As 2.112 6.071 1.612
As 2.112 3.775 5.112
```

## Properties
Theoretical density, g/cm3: 7.87
Calculated total energy, eV/atom: -7.054
ΔH_f (0 K), eV/atom: -1.48

---

No. 3
ZrIr2Cl | GGA-PBE | optimized geometry Values from VASP.

Quantum ESPRESSO input file:
```
&SYSTEM
  ibrav = 0, nat = 4, ntyp = 3
/
ATOMIC_SPECIES
Ir 192.22 Ir.upf
Zr 91.22 Zr.upf
Cl 35.45 Cl.upf
CELL_PARAMETERS angstrom
0.000 3.267 3.267
3.267 0.000 3.267
3.267 3.267 0.000
ATOMIC_POSITIONS angstrom
Ir 1.633 1.633 1.633
Ir 4.900 4.900 4.900
Zr 3.267 3.267 3.267
Cl 0.000 0.000 0.000
```

## Properties
Theoretical density, g/cm3: 12.17
Calculated total energy, eV/atom: -6.691
ΔE_f (raw), meV per atom: 339
Relative energy among the computed polymorphs, meV/atom: 648.9

---

No. 4
KHgSbAu2 | GGA-PBE | optimized geometry Values from VASP.

Quantum ESPRESSO input file:
```
&SYSTEM
  ibrav = 0, nat = 5, ntyp = 4
/
ATOMIC_SPECIES
K 39.10 K.upf
Hg 200.59 Hg.upf
Sb 121.76 Sb.upf
Au 196.97 Au.upf
CELL_PARAMETERS angstrom
-1.854 1.134 4.219
-2.954 -3.443 -0.372
6.476 -2.643 0.887
ATOMIC_POSITIONS angstrom
K 3.640 -3.394 2.512
Hg 0.341 -3.715 3.817
Sb 0.015 -3.113 0.844
Au 0.594 -0.851 3.159
Au 0.473 -0.441 0.327
```

## Properties
Theoretical density, g/cm3: 9.31
Calculated total energy, eV/atom: -2.607
ΔE_f (raw), meV per atom: -192
Relative energy among the computed polymorphs, meV/atom: 0.0

---

Q: What is the theoretical density in the second record?
A: 7.87 g/cm3

---

Q: Which of these has the lowest calculated total energy?
A: SmYTh2As4

---

Q: The highest theoretical density belongs to which entry?
A: ZrIr2Cl

---

Q: What is the formula in the second record?
A: SmYTh2As4